{"formula": "Fe2O5", "functional": "PBE+U", "state": "optimized geometry", "lattice": [[5.940, -2.332, 0.000], [5.940, 2.332, 0.000], [-1.131, 0.000, 5.263]], "species": ["Fe", "Fe", "Fe", "Fe", "O", "O", "O", "O", "O", "O", "O", "O", "O", "O"], "frac_coords": [[0.107, 0.608, 0.700], [0.392, 0.893, 0.800], [0.608, 0.107, 0.200], [0.893, 0.392, 0.300], [0.034, 0.134, 0.995], [0.134, 0.034, 0.495], [0.234, 0.347, 0.384], [0.347, 0.234, 0.884], [0.442, 0.558, 0.750], [0.558, 0.442, 0.250], [0.653, 0.766, 0.116], [0.766, 0.653, 0.616], [0.866, 0.966, 0.505], [0.966, 0.866, 0.005]], "spacegroup": "No. 15", "n_ef_per_ev_fu": 3.52, "dft_energy_ev_per_atom": -5.682}